Record 1
A plane-wave DFT calculation with PBE-GGA was carried out for crystalline CeHo3Al8 at its relaxed geometry.

DFT formation energy = -0.491 eV/atom
space group = R3m
energy above the lowest structure with this stoichiometry = 0.000 eV/atom
volume = 243.8 Å³ per cell

Cell: 9.653 9.653 9.653 Å, 33.48 33.48 33.48°
Fractional coordinates of all 12 atoms:
Ce  0.000  0.000  0.000
Ho  0.125  0.125  0.125
Ho  0.500  0.500  0.500
Ho  0.626  0.626  0.626
Al  0.062  0.062  0.562
Al  0.062  0.562  0.062
Al  0.064  0.563  0.563
Al  0.312  0.312  0.312
Al  0.562  0.062  0.062
Al  0.563  0.064  0.563
Al  0.563  0.563  0.064
Al  0.813  0.813  0.813



Record 2
A plane-wave DFT calculation with PBE-GGA was carried out for crystalline ScSiMo2 at its relaxed geometry.

space group = Immm
ΔE_f (raw) = -0.10 eV/atom
volume = 129.2 Å³ per cell

Cell: 3.334 4.400 8.804 Å, 90.00 90.00 90.00°
Fractional coordinates of all 8 atoms:
Sc  0.000  0.000  0.000
Sc  0.500  0.500  0.500
Si  0.000  0.000  0.500
Si  0.500  0.500  0.000
Mo  0.000  0.500  0.246
Mo  0.000  0.500  0.754
Mo  0.500  0.000  0.254
Mo  0.500  0.000  0.746